No. 1
An optimized crystal structure of SrAgOs2. Source: Alexandria via LeMat-Bulk, functional GGA-PBEsol.

Unit cell a=5.759 b=5.759 c=2.795 alpha=102.30 beta=102.30 gamma=122.93
Sites, in units of the cell vectors:
Sr (0.000, 0.000, 0.000)
Ag (0.500, 0.500, 0.000)
Os (0.000, 0.500, 0.500)
Os (0.500, 0.000, 0.500)

Values from the calculation:
Space-group type: No. 12
DOS at the Fermi energy: 3.69 states/eV/cell
E_form: 0.9112 eV/atom
Crystal system: monoclinic
VASP energy: -0.4766 Ry per atom
ΔE to the lowest computed polymorph: 0.0 kJ/mol of atoms
Total magnetic moment: 0.000 μB/f.u.

=====

No. 2
An optimized crystal structure of SrTiAgOs2. Source: Alexandria via LeMat-Bulk, functional GGA-PBEsol.

Unit cell a=4.543 b=4.543 c=5.310 alpha=90.00 beta=90.00 gamma=90.00
Sites, in units of the cell vectors:
Sr (0.000, 0.000, 0.000)
Ti (0.000, 0.000, 0.500)
Ag (0.500, 0.500, 0.000)
Os (0.000, 0.500, 0.500)
Os (0.500, 0.000, 0.500)

Values from the calculation:
Space-group type: No. 123
DOS at the Fermi energy: 4.95 states/eV/cell
E_form: 1.4527 eV/atom
Crystal system: tetragonal
VASP energy: -0.4504 Ry per atom
Total magnetic moment: 0.001 μB/f.u.

=====

No. 3
An optimized crystal structure of TaAgOs2. Source: Alexandria via LeMat-Bulk, functional GGA-PBEsol.

Unit cell a=9.256 b=9.256 c=9.256 alpha=17.43 beta=17.43 gamma=17.43
Sites, in units of the cell vectors:
Ta (0.000, 0.000, 0.000)
Ag (0.500, 0.500, 0.500)
Os (0.253, 0.253, 0.253)
Os (0.747, 0.747, 0.747)

Values from the calculation:
Space-group type: No. 166
DOS at the Fermi energy: 3.34 states/eV/cell
E_form: 0.3057 eV/atom
Crystal system: trigonal
VASP energy: -0.7179 Ry per atom
ΔE to the lowest computed polymorph: 1.6 kJ/mol of atoms
Total magnetic moment: 0.000 μB/f.u.

=====

No. 4
An optimized crystal structure of TaAg2Os. Source: Alexandria via LeMat-Bulk, functional GGA-PBEsol.

Unit cell a=2.812 b=2.812 c=9.534 alpha=98.63 beta=98.63 gamma=60.18
Sites, in units of the cell vectors:
Ta (0.000, 0.000, 0.000)
Ag (0.503, 0.503, 0.515)
Ag (0.753, 0.753, 0.263)
Os (0.255, 0.255, 0.767)

Values from the calculation:
Space-group type: No. 8
DOS at the Fermi energy: 3.69 states/eV/cell
E_form: 0.2506 eV/atom
Crystal system: monoclinic
VASP energy: -0.5583 Ry per atom
ΔE to the lowest computed polymorph: 0.0 kJ/mol of atoms
Total magnetic moment: 0.001 μB/f.u.

=====

- Which of these has the highest DOS at the Fermi energy?
  SrTiAgOs2